# 1
Density functional theory data (GGA-PBE) for a geometry-optimized PrGe2RuRh structure.

Cell lengths 5.9708, 5.9708, 5.9708 Å; angles 138.27, 138.27, 60.49 degrees
Fractional positions:
Pr (0.0000, 0.0000, 0.0000)
Ge (0.3709, 0.3709, 0.0000)
Ge (0.6291, 0.6291, 0.0000)
Ru (0.2500, 0.7500, 0.5000)
Rh (0.7500, 0.2500, 0.5000)

energy of formation from the pure elements	-0.79	eV per atom
magnetization	0.0	μB/cell
calculated volume	93.3	Å³/f.u.
calculated total energy	-6.92	eV/atom

---

# 2
Density functional theory data (GGA-PBE) for a geometry-optimized Pr3GeSb2Rh9 structure.

Cell lengths 6.6836, 6.6836, 8.7222 Å; angles 90.00, 90.00, 120.00 degrees
Fractional positions:
Pr (0.0000, 0.0000, 0.0000)
Pr (0.3333, 0.6667, 0.7268)
Pr (0.6667, 0.3333, 0.2732)
Ge (0.0000, 0.0000, 0.5000)
Sb (0.3333, 0.6667, 0.1981)
Sb (0.6667, 0.3333, 0.8019)
Rh (0.0000, 0.5000, 0.0000)
Rh (0.1322, 0.2644, 0.2805)
Rh (0.1322, 0.8678, 0.2805)
Rh (0.2644, 0.1322, 0.7195)
Rh (0.5000, 0.0000, 0.0000)
Rh (0.5000, 0.5000, 0.0000)
Rh (0.7356, 0.8678, 0.2805)
Rh (0.8678, 0.1322, 0.7195)
Rh (0.8678, 0.7356, 0.7195)

magnetization	0.0	μB/cell
calculated volume	337.4	Å³/f.u.
calculated total energy	-6.50	eV/atom

---

# 3
Density functional theory data (GGA-PBE) for a geometry-optimized Pr2Ge3SbRh4 structure.

Cell lengths 4.3227, 4.3227, 10.3891 Å; angles 90.00, 90.00, 90.00 degrees
Fractional positions:
Pr (0.0000, 0.5000, 0.2471)
Pr (0.5000, 0.0000, 0.7529)
Ge (0.0000, 0.5000, 0.8750)
Ge (0.5000, 0.0000, 0.1250)
Ge (0.5000, 0.5000, 0.5000)
Sb (0.0000, 0.0000, 0.5000)
Rh (0.0000, 0.0000, 0.0000)
Rh (0.0000, 0.5000, 0.6379)
Rh (0.5000, 0.0000, 0.3621)
Rh (0.5000, 0.5000, 0.0000)

magnetization	0.0	μB/cell
calculated volume	194.1	Å³/f.u.
calculated total energy	-6.53	eV/atom

---

# 4
Density functional theory data (GGA-PBE) for a geometry-optimized Pr2ScGe3Rh4 structure.

Cell lengths 4.1780, 4.1780, 10.9759 Å; angles 90.00, 90.00, 90.00 degrees
Fractional positions:
Pr (0.0000, 0.5000, 0.2376)
Pr (0.5000, 0.0000, 0.7624)
Sc (0.0000, 0.0000, 0.5000)
Ge (0.0000, 0.5000, 0.8756)
Ge (0.5000, 0.0000, 0.1244)
Ge (0.5000, 0.5000, 0.5000)
Rh (0.0000, 0.0000, 0.0000)
Rh (0.0000, 0.5000, 0.6473)
Rh (0.5000, 0.0000, 0.3527)
Rh (0.5000, 0.5000, 0.0000)

energy of formation from the pure elements	-0.91	eV per atom
magnetization	0.0	μB/cell
calculated volume	191.6	Å³/f.u.
calculated total energy	-6.82	eV/atom

---

# 5
Density functional theory data (GGA-PBE) for a geometry-optimized PrScGe2Rh5 structure.

Cell lengths 4.6332, 4.6332, 7.4697 Å; angles 90.00, 90.00, 90.00 degrees
Fractional positions:
Pr (0.0000, 0.0000, 0.0000)
Sc (0.0000, 0.0000, 0.5000)
Ge (0.5000, 0.5000, 0.3329)
Ge (0.5000, 0.5000, 0.6671)
Rh (0.0000, 0.5000, 0.2727)
Rh (0.0000, 0.5000, 0.7273)
Rh (0.5000, 0.0000, 0.2727)
Rh (0.5000, 0.0000, 0.7273)
Rh (0.5000, 0.5000, 0.0000)

energy of formation from the pure elements	-0.53	eV per atom
magnetization	0.0	μB/cell
calculated volume	160.3	Å³/f.u.
calculated total energy	-6.88	eV/atom

---

# 6
Density functional theory data (GGA-PBE) for a geometry-optimized Pr2Si3GeRh4 structure.

Cell lengths 4.2339, 4.2339, 9.8894 Å; angles 90.00, 90.00, 90.00 degrees
Fractional positions:
Pr (0.0000, 0.5000, 0.2448)
Pr (0.5000, 0.0000, 0.7552)
Si (0.0000, 0.0000, 0.0000)
Si (0.0000, 0.5000, 0.6263)
Si (0.5000, 0.0000, 0.3737)
Ge (0.5000, 0.5000, 0.0000)
Rh (0.0000, 0.0000, 0.5000)
Rh (0.0000, 0.5000, 0.8703)
Rh (0.5000, 0.0000, 0.1297)
Rh (0.5000, 0.5000, 0.5000)

magnetization	0.0	μB/cell
calculated volume	177.3	Å³/f.u.
calculated total energy	-6.98	eV/atom

---

# 7
Density functional theory data (GGA-PBE) for a geometry-optimized PrSiGe2Rh2 structure.

Cell lengths 4.5243, 4.5243, 5.5916 Å; angles 90.00, 90.00, 90.00 degrees
Fractional positions:
Pr (0.0000, 0.0000, 0.0000)
Si (0.0000, 0.0000, 0.5000)
Ge (0.5000, 0.5000, 0.2322)
Ge (0.5000, 0.5000, 0.7678)
Rh (0.0000, 0.5000, 0.5000)
Rh (0.5000, 0.0000, 0.5000)

magnetization	0.0	μB/cell
calculated volume	114.5	Å³/f.u.
calculated total energy	-6.17	eV/atom

---

# 8
Density functional theory data (GGA-PBE) for a geometry-optimized Pr2SmGe3Rh4 structure.

Cell lengths 4.2311, 4.2311, 11.2568 Å; angles 90.00, 90.00, 90.00 degrees
Fractional positions:
Pr (0.0000, 0.5000, 0.2281)
Pr (0.5000, 0.0000, 0.7719)
Sm (0.0000, 0.0000, 0.5000)
Ge (0.0000, 0.5000, 0.8805)
Ge (0.5000, 0.0000, 0.1195)
Ge (0.5000, 0.5000, 0.5000)
Rh (0.0000, 0.0000, 0.0000)
Rh (0.0000, 0.5000, 0.6609)
Rh (0.5000, 0.0000, 0.3391)
Rh (0.5000, 0.5000, 0.0000)

energy of formation from the pure elements	-0.84	eV per atom
magnetization	0.0	μB/cell
calculated volume	201.5	Å³/f.u.
calculated total energy	-6.60	eV/atom

---

# 9
Density functional theory data (GGA-PBE) for a geometry-optimized PrSnGeRh3 structure.

Cell lengths 8.4368, 8.4368, 5.8202 Å; angles 90.00, 90.00, 140.00 degrees
Fractional positions:
Pr (0.2225, 0.7775, 0.7500)
Pr (0.7775, 0.2225, 0.2500)
Sn (0.0999, 0.9001, 0.2500)
Sn (0.9001, 0.0999, 0.7500)
Ge (0.4156, 0.5844, 0.2500)
Ge (0.5844, 0.4156, 0.7500)
Rh (0.2539, 0.2539, 0.0000)
Rh (0.2539, 0.2539, 0.5000)
Rh (0.2630, 0.7370, 0.2500)
Rh (0.7370, 0.2630, 0.7500)
Rh (0.7461, 0.7461, 0.0000)
Rh (0.7461, 0.7461, 0.5000)

energy of formation from the pure elements	-0.51	eV per atom
magnetization	0.0	μB/cell
calculated volume	133.2	Å³/f.u.
calculated total energy	-6.42	eV/atom

---

# 10
Density functional theory data (GGA-PBE) for a geometry-optimized Pr2SnGeRh6 structure.

Cell lengths 6.4017, 6.4017, 7.7113 Å; angles 125.10, 125.10, 51.52 degrees
Fractional positions:
Pr (0.0086, 0.0086, 0.2556)
Pr (0.9914, 0.9914, 0.7444)
Sn (0.5000, 0.5000, 0.5000)
Ge (0.5000, 0.5000, 0.0000)
Rh (0.0111, 0.5050, 0.7124)
Rh (0.3099, 0.3099, 0.0562)
Rh (0.4950, 0.9889, 0.2876)
Rh (0.5050, 0.0111, 0.7124)
Rh (0.6901, 0.6901, 0.9438)
Rh (0.9889, 0.4950, 0.2876)

energy of formation from the pure elements	-0.51	eV per atom
magnetization	0.0	μB/cell
calculated volume	190.4	Å³/f.u.
calculated total energy	-6.74	eV/atom

---

# 11
Density functional theory data (GGA-PBE) for a geometry-optimized Pr2SnGe3Rh4 structure.

Cell lengths 4.3196, 4.3196, 10.3914 Å; angles 90.00, 90.00, 90.00 degrees
Fractional positions:
Pr (0.0000, 0.5000, 0.2470)
Pr (0.5000, 0.0000, 0.7530)
Sn (0.0000, 0.0000, 0.5000)
Ge (0.0000, 0.5000, 0.8751)
Ge (0.5000, 0.0000, 0.1249)
Ge (0.5000, 0.5000, 0.5000)
Rh (0.0000, 0.0000, 0.0000)
Rh (0.0000, 0.5000, 0.6401)
Rh (0.5000, 0.0000, 0.3599)
Rh (0.5000, 0.5000, 0.0000)

energy of formation from the pure elements	-0.82	eV per atom
magnetization	0.0	μB/cell
calculated volume	193.9	Å³/f.u.
calculated total energy	-6.50	eV/atom

---

Repeat the fifth record exactly.
Density functional theory data (GGA-PBE) for a geometry-optimized PrScGe2Rh5 structure.

Cell lengths 4.6332, 4.6332, 7.4697 Å; angles 90.00, 90.00, 90.00 degrees
Fractional positions:
Pr (0.0000, 0.0000, 0.0000)
Sc (0.0000, 0.0000, 0.5000)
Ge (0.5000, 0.5000, 0.3329)
Ge (0.5000, 0.5000, 0.6671)
Rh (0.0000, 0.5000, 0.2727)
Rh (0.0000, 0.5000, 0.7273)
Rh (0.5000, 0.0000, 0.2727)
Rh (0.5000, 0.0000, 0.7273)
Rh (0.5000, 0.5000, 0.0000)

energy of formation from the pure elements	-0.53	eV per atom
magnetization	0.0	μB/cell
calculated volume	160.3	Å³/f.u.
calculated total energy	-6.88	eV/atom

---

Which of these has the lowest calculated total energy?
Pr2Si3GeRh4

---

Please write out number 11 again, unchanged.
Density functional theory data (GGA-PBE) for a geometry-optimized Pr2SnGe3Rh4 structure.

Cell lengths 4.3196, 4.3196, 10.3914 Å; angles 90.00, 90.00, 90.00 degrees
Fractional positions:
Pr (0.0000, 0.5000, 0.2470)
Pr (0.5000, 0.0000, 0.7530)
Sn (0.0000, 0.0000, 0.5000)
Ge (0.0000, 0.5000, 0.8751)
Ge (0.5000, 0.0000, 0.1249)
Ge (0.5000, 0.5000, 0.5000)
Rh (0.0000, 0.0000, 0.0000)
Rh (0.0000, 0.5000, 0.6401)
Rh (0.5000, 0.0000, 0.3599)
Rh (0.5000, 0.5000, 0.0000)

energy of formation from the pure elements	-0.82	eV per atom
magnetization	0.0	μB/cell
calculated volume	193.9	Å³/f.u.
calculated total energy	-6.50	eV/atom

---

What is the formula in the ninth record?
PrSnGeRh3